Record 1
{
  "formula": "HfAsPd",
  "functional": "GGA-PBE",
  "state": "relaxed",
  "total_magnetization_mub_per_cell": 0.00,
  "energy_ev_per_atom": -7.347,
  "vol_a3_per_cell": 109.7,
  "space_group": "P-1",
  "cell": [[3.9178, 0.0000, 0.0000], [0.6657, 5.3958, 0.0000], [1.6927, 1.6816, 5.1915]],
  "species": ["Hf", "Hf", "As", "As", "Pd", "Pd"],
  "frac_coords": [[0.1311, 0.1631, 0.1815], [0.8689, 0.8369, 0.8185], [0.2200, 0.6500, 0.1890], [0.7800, 0.3500, 0.8110], [0.4155, 0.2213, 0.5678], [0.5845, 0.7787, 0.4322]]
}

---

Record 2
{
  "formula": "LiCrAs",
  "functional": "GGA-PBE",
  "state": "relaxed",
  "total_magnetization_mub_per_cell": 1.19,
  "energy_ev_per_atom": -5.492,
  "vol_a3_per_cell": 74.5,
  "space_group": "P6_3/mmc",
  "cell": [[4.1641, 0.0000, 0.0000], [-2.0820, 3.6062, 0.0000], [0.0000, 0.0000, 4.9628]],
  "species": ["Li", "Li", "Cr", "Cr", "As", "As"],
  "frac_coords": [[0.3333, 0.6667, 0.2500], [0.6667, 0.3333, 0.7500], [0.0000, 0.0000, 0.0000], [0.0000, 0.0000, 0.5000], [0.3333, 0.6667, 0.7500], [0.6667, 0.3333, 0.2500]]
}

---

Record 3
{
  "formula": "Fe2Co",
  "functional": "GGA-PBE",
  "state": "relaxed",
  "total_magnetization_mub_per_cell": 20.23,
  "energy_ev_per_atom": -7.803,
  "vol_a3_per_cell": 136.8,
  "space_group": "P6_3/mmc",
  "cell": [[4.6066, 0.0000, 0.0000], [-2.3033, 3.9894, 0.0000], [0.0000, 0.0000, 7.4428]],
  "species": ["Fe", "Fe", "Fe", "Fe", "Fe", "Fe", "Fe", "Fe", "Co", "Co", "Co", "Co"],
  "frac_coords": [[0.0000, 0.0000, 0.0000], [0.0000, 0.0000, 0.5000], [0.1713, 0.3426, 0.2500], [0.1713, 0.8287, 0.2500], [0.3426, 0.1713, 0.7500], [0.6574, 0.8287, 0.2500], [0.8287, 0.1713, 0.7500], [0.8287, 0.6574, 0.7500], [0.3333, 0.6667, 0.5617], [0.3333, 0.6667, 0.9383], [0.6667, 0.3333, 0.0617], [0.6667, 0.3333, 0.4383]]
}

---

Record 4
{
  "formula": "NaNiI2",
  "functional": "GGA-PBE",
  "state": "relaxed",
  "total_magnetization_mub_per_cell": 1.00,
  "raw_formation_energy_mev_per_atom": 19,
  "relative_energy_mev_per_atom": 475,
  "vol_a3_per_cell": 108.6,
  "space_group": "Fm-3m",
  "cell": [[0.0000, 3.7864, 3.7864], [3.7864, 0.0000, 3.7864], [3.7864, 3.7864, 0.0000]],
  "species": ["Na", "Ni", "I", "I"],
  "frac_coords": [[0.0000, 0.0000, 0.0000], [0.5000, 0.5000, 0.5000], [0.2500, 0.2500, 0.2500], [0.7500, 0.7500, 0.7500]]
}

---

Record 5
{
  "formula": "AlOs2Au",
  "functional": "GGA-PBE",
  "state": "relaxed",
  "total_magnetization_mub_per_cell": 0.00,
  "energy_ev_per_atom": -6.992,
  "vol_a3_per_cell": 60.4,
  "space_group": "I4/mmm",
  "cell": [[-1.9629, 1.9629, 3.9217], [1.9629, -1.9629, 3.9217], [1.9629, 1.9629, -3.9217]],
  "species": ["Al", "Os", "Os", "Au"],
  "frac_coords": [[0.0000, 0.0000, 0.0000], [0.2500, 0.7500, 0.5000], [0.7500, 0.2500, 0.5000], [0.5000, 0.5000, 0.0000]]
}

---

Record 6
{
  "formula": "NpScSb3",
  "functional": "GGA-PBE",
  "state": "relaxed",
  "total_magnetization_mub_per_cell": 16.67,
  "raw_formation_energy_mev_per_atom": -424,
  "vol_a3_per_cell": 521.3,
  "space_group": "Pbcm",
  "cell": [[13.2052, 0.0000, 0.0000], [0.0000, 6.1019, 0.0000], [0.0000, 0.0000, 6.4694]],
  "species": ["Np", "Np", "Np", "Np", "Sc", "Sc", "Sc", "Sc", "Sb", "Sb", "Sb", "Sb", "Sb", "Sb", "Sb", "Sb", "Sb", "Sb", "Sb", "Sb"],
  "frac_coords": [[0.1810, 0.0032, 0.2500], [0.1810, 0.4968, 0.7500], [0.8190, 0.5032, 0.2500], [0.8190, 0.9968, 0.7500], [0.4023, 0.7500, 0.0000], [0.4023, 0.7500, 0.5000], [0.5977, 0.2500, 0.0000], [0.5977, 0.2500, 0.5000], [0.0015, 0.7500, 0.0000], [0.0015, 0.7500, 0.5000], [0.2468, 0.0004, 0.7500], [0.2468, 0.4996, 0.2500], [0.4187, 0.1514, 0.2500], [0.4187, 0.3486, 0.7500], [0.5813, 0.6514, 0.2500], [0.5813, 0.8486, 0.7500], [0.7532, 0.9996, 0.2500], [0.7532, 0.5004, 0.7500], [0.9985, 0.2500, 0.0000], [0.9985, 0.2500, 0.5000]]
}

---

Record 7
{
  "formula": "PmPrHo4",
  "functional": "GGA-PBE",
  "state": "relaxed",
  "total_magnetization_mub_per_cell": 2.64,
  "relative_energy_mev_per_atom": 265,
  "vol_a3_per_cell": 206.0,
  "space_group": "F-43m",
  "cell": [[0.0000, 4.6878, 4.6878], [4.6878, 0.0000, 4.6878], [4.6878, 4.6878, 0.0000]],
  "species": ["Pm", "Pr", "Ho", "Ho", "Ho", "Ho"],
  "frac_coords": [[0.0000, 0.0000, 0.0000], [0.2500, 0.2500, 0.2500], [0.1243, 0.6252, 0.6252], [0.6252, 0.1243, 0.6252], [0.6252, 0.6252, 0.1243], [0.6252, 0.6252, 0.6252]]
}

---

Record 8
{
  "formula": "Zr2BiAs",
  "functional": "GGA-PBE",
  "state": "relaxed",
  "total_magnetization_mub_per_cell": 0.00,
  "energy_ev_per_atom": -6.836,
  "vol_a3_per_cell": 87.6,
  "space_group": "Fm-3m",
  "cell": [[0.0000, 3.5251, 3.5251], [3.5251, 0.0000, 3.5251], [3.5251, 3.5251, 0.0000]],
  "species": ["Zr", "Zr", "Bi", "As"],
  "frac_coords": [[0.2500, 0.2500, 0.2500], [0.7500, 0.7500, 0.7500], [0.0000, 0.0000, 0.0000], [0.5000, 0.5000, 0.5000]]
}

---

Record 9
{
  "formula": "Pm2SnPd2",
  "functional": "GGA-PBE",
  "state": "relaxed",
  "total_magnetization_mub_per_cell": 0.00,
  "energy_ev_per_atom": -5.663,
  "vol_a3_per_cell": 236.0,
  "space_group": "P4/mbm",
  "cell": [[7.8563, 0.0000, 0.0000], [0.0000, 7.8563, 0.0000], [0.0000, 0.0000, 3.8237]],
  "species": ["Pm", "Pm", "Pm", "Pm", "Sn", "Sn", "Pd", "Pd", "Pd", "Pd"],
  "frac_coords": [[0.1759, 0.3241, 0.0000], [0.3241, 0.8241, 0.0000], [0.6759, 0.1759, 0.0000], [0.8241, 0.6759, 0.0000], [0.0000, 0.0000, 0.5000], [0.5000, 0.5000, 0.5000], [0.1261, 0.6261, 0.5000], [0.3739, 0.1261, 0.5000], [0.6261, 0.8739, 0.5000], [0.8739, 0.3739, 0.5000]]
}

---

Record 10
{
  "formula": "Er12Co6Os",
  "functional": "GGA-PBE",
  "state": "relaxed",
  "total_magnetization_mub_per_cell": 0.00,
  "energy_ev_per_atom": -5.893,
  "vol_a3_per_cell": 413.3,
  "space_group": "Im-3",
  "cell": [[-4.6925, 4.6925, 4.6925], [4.6925, -4.6925, 4.6925], [4.6925, 4.6925, -4.6925]],
  "species": ["Er", "Er", "Er", "Er", "Er", "Er", "Er", "Er", "Er", "Er", "Er", "Er", "Co", "Co", "Co", "Co", "Co", "Co", "Os"],
  "frac_coords": [[0.1037, 0.8102, 0.2935], [0.1898, 0.2935, 0.4833], [0.1898, 0.7065, 0.8963], [0.2935, 0.1037, 0.8102], [0.2935, 0.4833, 0.1898], [0.4833, 0.1898, 0.2935], [0.5167, 0.8102, 0.7065], [0.7065, 0.5167, 0.8102], [0.7065, 0.8963, 0.1898], [0.8102, 0.2935, 0.1037], [0.8102, 0.7065, 0.5167], [0.8963, 0.1898, 0.7065], [0.1163, 0.6163, 0.5000], [0.3837, 0.5000, 0.8837], [0.5000, 0.1163, 0.6163], [0.5000, 0.8837, 0.3837], [0.6163, 0.5000, 0.1163], [0.8837, 0.3837, 0.5000], [0.0000, 0.0000, 0.0000]]
}

---

Record 11
{
  "formula": "PrGeSb",
  "functional": "GGA-PBE",
  "state": "relaxed",
  "total_magnetization_mub_per_cell": 0.00,
  "raw_formation_energy_mev_per_atom": -527,
  "relative_energy_mev_per_atom": 250,
  "vol_a3_per_cell": 82.0,
  "space_group": "P-6m2",
  "cell": [[4.8115, 0.0000, 0.0000], [-2.4057, 4.1669, 0.0000], [0.0000, 0.0000, 4.0925]],
  "species": ["Pr", "Ge", "Sb"],
  "frac_coords": [[0.0000, 0.0000, 0.0000], [0.3333, 0.6667, 0.5000], [0.6667, 0.3333, 0.5000]]
}

---

Record 12
{
  "formula": "AsOs",
  "functional": "GGA-PBE",
  "state": "relaxed",
  "total_magnetization_mub_per_cell": 0.00,
  "energy_ev_per_atom": -7.582,
  "vol_a3_per_cell": 30.0,
  "space_group": "R-3m",
  "cell": [[1.4819, 0.8556, 3.9461], [-1.4819, 0.8556, 3.9461], [0.0000, -1.7111, 3.9461]],
  "species": ["As", "Os"],
  "frac_coords": [[0.0000, 0.0000, 0.0000], [0.5000, 0.5000, 0.5000]]
}

---

Record 13
{
  "formula": "TcPd2Pt",
  "functional": "GGA-PBE",
  "state": "relaxed",
  "total_magnetization_mub_per_cell": 0.00,
  "relative_energy_mev_per_atom": 340,
  "vol_a3_per_cell": 61.2,
  "space_group": "Fm-3m",
  "cell": [[0.0000, 3.1277, 3.1277], [3.1277, 0.0000, 3.1277], [3.1277, 3.1277, 0.0000]],
  "species": ["Tc", "Pd", "Pd", "Pt"],
  "frac_coords": [[0.0000, 0.0000, 0.0000], [0.2500, 0.2500, 0.2500], [0.7500, 0.7500, 0.7500], [0.5000, 0.5000, 0.5000]]
}

---

Record 14
{
  "formula": "PrGdHo",
  "functional": "GGA-PBE",
  "state": "relaxed",
  "total_magnetization_mub_per_cell": 7.38,
  "relative_energy_mev_per_atom": 2,
  "vol_a3_per_cell": 99.9,
  "space_group": "I4mm",
  "cell": [[-1.8147, 1.8147, 7.5812], [1.8147, -1.8147, 7.5812], [1.8147, 1.8147, -7.5812]],
  "species": ["Pr", "Gd", "Ho"],
  "frac_coords": [[0.0000, 0.0000, 0.0000], [0.3294, 0.3294, 0.0000], [0.6657, 0.6657, 0.0000]]
}

---

Record 15
{
  "formula": "RbCoAgCl5",
  "functional": "GGA-PBE",
  "state": "relaxed",
  "total_magnetization_mub_per_cell": 7.81,
  "raw_formation_energy_mev_per_atom": -894,
  "vol_a3_per_cell": 482.8,
  "space_group": "C2/c",
  "cell": [[4.6483, -6.1676, 0.0000], [4.6483, 6.1676, 0.0000], [-2.9591, 0.0000, 8.4200]],
  "species": ["Rb", "Rb", "Co", "Co", "Ag", "Ag", "Cl", "Cl", "Cl", "Cl", "Cl", "Cl", "Cl", "Cl", "Cl", "Cl"],
  "frac_coords": [[0.1526, 0.8474, 0.7500], [0.8474, 0.1526, 0.2500], [0.1878, 0.8122, 0.2500], [0.8122, 0.1878, 0.7500], [0.5000, 0.5000, 0.0000], [0.5000, 0.5000, 0.5000], [0.0745, 0.2437, 0.9309], [0.1736, 0.5889, 0.3721], [0.2437, 0.0745, 0.4309], [0.4111, 0.8264, 0.1279], [0.4193, 0.5807, 0.7500], [0.5807, 0.4193, 0.2500], [0.5889, 0.1736, 0.8721], [0.7563, 0.9255, 0.5691], [0.8264, 0.4111, 0.6279], [0.9255, 0.7563, 0.0691]]
}

---

Record 16
{
  "formula": "Zr2CuAu",
  "functional": "GGA-PBE",
  "state": "relaxed",
  "total_magnetization_mub_per_cell": 0.52,
  "energy_ev_per_atom": -6.404,
  "vol_a3_per_cell": 75.9,
  "space_group": "Pmmm",
  "cell": [[3.3299, 0.0000, 0.0000], [0.0000, 3.3646, 0.0000], [0.0000, 0.0000, 6.7763]],
  "species": ["Zr", "Zr", "Cu", "Au"],
  "frac_coords": [[0.0000, 0.0000, 0.2341], [0.0000, 0.0000, 0.7659], [0.5000, 0.5000, 0.0000], [0.5000, 0.5000, 0.5000]]
}

---

Record 17
{
  "formula": "ErAlIn2",
  "functional": "GGA-PBE",
  "state": "relaxed",
  "total_magnetization_mub_per_cell": 0.00,
  "energy_ev_per_atom": -3.796,
  "vol_a3_per_cell": 91.2,
  "space_group": "P4/mmm",
  "cell": [[4.4816, 0.0000, 0.0000], [0.0000, 4.4816, 0.0000], [0.0000, 0.0000, 4.5430]],
  "species": ["Er", "Al", "In", "In"],
  "frac_coords": [[0.0000, 0.0000, 0.0000], [0.5000, 0.5000, 0.0000], [0.0000, 0.5000, 0.5000], [0.5000, 0.0000, 0.5000]]
}

---

Record 18
{
  "formula": "HfMg3Re",
  "functional": "GGA-PBE",
  "state": "relaxed",
  "total_magnetization_mub_per_cell": 0.00,
  "energy_ev_per_atom": -4.258,
  "vol_a3_per_cell": 119.5,
  "space_group": "Pm-3m",
  "cell": [[4.9254, 0.0000, 0.0000], [0.0000, 4.9254, 0.0000], [0.0000, 0.0000, 4.9254]],
  "species": ["Hf", "Mg", "Mg", "Mg", "Re"],
  "frac_coords": [[0.0000, 0.0000, 0.0000], [0.0000, 0.5000, 0.5000], [0.5000, 0.0000, 0.5000], [0.5000, 0.5000, 0.0000], [0.5000, 0.5000, 0.5000]]
}

---

Record 19
{
  "formula": "La2Ga2W",
  "functional": "GGA-PBE",
  "state": "relaxed",
  "total_magnetization_mub_per_cell": 0.00,
  "relative_energy_mev_per_atom": 644,
  "vol_a3_per_cell": 113.8,
  "space_group": "I4/mmm",
  "cell": [[-2.0396, 2.0396, 6.8408], [2.0396, -2.0396, 6.8408], [2.0396, 2.0396, -6.8408]],
  "species": ["La", "La", "Ga", "Ga", "W"],
  "frac_coords": [[0.2500, 0.7500, 0.5000], [0.7500, 0.2500, 0.5000], [0.0843, 0.0843, 0.0000], [0.9157, 0.9157, 0.0000], [0.5000, 0.5000, 0.0000]]
}

---

Record 20
{
  "formula": "Pr2Zn4CuSi3",
  "functional": "GGA-PBE",
  "state": "relaxed",
  "total_magnetization_mub_per_cell": 0.00,
  "raw_formation_energy_mev_per_atom": -406,
  "vol_a3_per_cell": 181.7,
  "space_group": "P-4m2",
  "cell": [[4.1499, 0.0000, 0.0000], [0.0000, 4.1499, 0.0000], [0.0000, 0.0000, 10.5480]],
  "species": ["Pr", "Pr", "Zn", "Zn", "Zn", "Zn", "Cu", "Si", "Si", "Si"],
  "frac_coords": [[0.0000, 0.5000, 0.2494], [0.5000, 0.0000, 0.7506], [0.0000, 0.0000, 0.5000], [0.0000, 0.5000, 0.8715], [0.5000, 0.0000, 0.1285], [0.5000, 0.5000, 0.5000], [0.5000, 0.5000, 0.0000], [0.0000, 0.0000, 0.0000], [0.0000, 0.5000, 0.6406], [0.5000, 0.0000, 0.3594]]
}

---

Record 21
{
  "formula": "AcCeNd2",
  "functional": "GGA-PBE",
  "state": "relaxed",
  "total_magnetization_mub_per_cell": 1.14,
  "relative_energy_mev_per_atom": 58,
  "vol_a3_per_cell": 144.3,
  "space_group": "P4/mmm",
  "cell": [[4.3111, 0.0000, 0.0000], [0.0000, 4.3111, 0.0000], [0.0000, 0.0000, 7.7617]],
  "species": ["Ac", "Ce", "Nd", "Nd"],
  "frac_coords": [[0.0000, 0.0000, 0.0000], [0.0000, 0.0000, 0.5000], [0.5000, 0.5000, 0.2818], [0.5000, 0.5000, 0.7182]]
}

---

Record 22
{
  "formula": "PuSc2Ir",
  "functional": "GGA-PBE",
  "state": "relaxed",
  "total_magnetization_mub_per_cell": 6.16,
  "energy_ev_per_atom": -9.422,
  "vol_a3_per_cell": 84.7,
  "space_group": "P4/mmm",
  "cell": [[3.1938, 0.0000, 0.0000], [0.0000, 3.1938, 0.0000], [0.0000, 0.0000, 8.3073]],
  "species": ["Pu", "Sc", "Sc", "Ir"],
  "frac_coords": [[0.0000, 0.0000, 0.0000], [0.5000, 0.5000, 0.3043], [0.5000, 0.5000, 0.6957], [0.0000, 0.0000, 0.5000]]
}

---

Record 23
{
  "formula": "MnSi",
  "functional": "GGA-PBE",
  "state": "relaxed",
  "total_magnetization_mub_per_cell": 1.66,
  "raw_formation_energy_mev_per_atom": -243,
  "vol_a3_per_cell": 23.4,
  "space_group": "Cmmm",
  "cell": [[1.7443, -1.9962, 0.0000], [1.7443, 1.9962, 0.0000], [0.0000, 0.0000, 3.3544]],
  "species": ["Mn", "Si"],
  "frac_coords": [[0.0000, 0.0000, 0.0000], [0.5000, 0.5000, 0.5000]]
}

---

Record 24
{
  "formula": "CdTcTePd2",
  "functional": "GGA-PBE",
  "state": "relaxed",
  "total_magnetization_mub_per_cell": 0.00,
  "raw_formation_energy_mev_per_atom": 970,
  "vol_a3_per_cell": 120.5,
  "space_group": "P4/mmm",
  "cell": [[4.8037, 0.0000, 0.0000], [0.0000, 4.8037, 0.0000], [0.0000, 0.0000, 5.2215]],
  "species": ["Cd", "Tc", "Te", "Pd", "Pd"],
  "frac_coords": [[0.0000, 0.0000, 0.0000], [0.0000, 0.0000, 0.5000], [0.5000, 0.5000, 0.0000], [0.0000, 0.5000, 0.5000], [0.5000, 0.0000, 0.5000]]
}

---

Record 25
{
  "formula": "PPbCCl2",
  "functional": "GGA-PBE",
  "state": "relaxed",
  "total_magnetization_mub_per_cell": 0.00,
  "raw_formation_energy_mev_per_atom": 613,
  "relative_energy_mev_per_atom": 0,
  "vol_a3_per_cell": 116.2,
  "space_group": "P4/mmm",
  "cell": [[5.7183, 0.0000, 0.0000], [0.0000, 5.7183, 0.0000], [0.0000, 0.0000, 3.5521]],
  "species": ["P", "Pb", "C", "Cl", "Cl"],
  "frac_coords": [[0.0000, 0.0000, 0.0000], [0.5000, 0.5000, 0.0000], [0.0000, 0.0000, 0.5000], [0.0000, 0.5000, 0.5000], [0.5000, 0.0000, 0.5000]]
}

---

Record 26
{
  "formula": "SrLiDyIn",
  "functional": "GGA-PBE",
  "state": "relaxed",
  "total_magnetization_mub_per_cell": 0.00,
  "energy_ev_per_atom": -2.921,
  "vol_a3_per_cell": 118.4,
  "space_group": "F-43m",
  "cell": [[0.0000, 3.8972, 3.8972], [3.8972, 0.0000, 3.8972], [3.8972, 3.8972, 0.0000]],
  "species": ["Sr", "Li", "Dy", "In"],
  "frac_coords": [[0.0000, 0.0000, 0.0000], [0.2500, 0.2500, 0.2500], [0.5000, 0.5000, 0.5000], [0.7500, 0.7500, 0.7500]]
}

---

Record 27
{
  "formula": "ZrScBe2",
  "functional": "GGA-PBE",
  "state": "relaxed",
  "total_magnetization_mub_per_cell": 0.00,
  "relative_energy_mev_per_atom": 351,
  "vol_a3_per_cell": 67.6,
  "space_group": "Pmm2",
  "cell": [[3.1100, 0.0000, 0.0000], [0.0000, 4.0389, 0.0000], [0.0000, 0.0000, 5.3792]],
  "species": ["Zr", "Sc", "Be", "Be"],
  "frac_coords": [[0.0000, 0.0000, 0.0000], [0.5000, 0.5000, 0.6462], [0.0000, 0.0000, 0.4825], [0.5000, 0.5000, 0.1628]]
}